Computed, not measured: a geometry-optimized Ti3AlAu4 structure at the PBE-GGA level of DFT.

Lattice parameters (Å, degrees): 4.4559 4.4559 13.8147 90.00 90.00 90.00
Space group I4/mmm (No. 139)
Symmetry-distinct sites (fractional):
Ti (0.0000, 0.0000, 0.0000) x2
Ti (0.0000, 0.0000, 0.2558) x4
Al (0.0000, 0.0000, 0.5000) x2
Au (0.0000, 0.5000, 0.1187) x8

**Formation energy from the elements**: -0.399 eV per atom
**Magnetic moment**: 0.2611 μB/atom
**Final energy**: -87.46 eV per cell
**Mass density**: 11.605 g/cm3